(1)
! MnSi2BMo | the Alexandria database | PBE | relaxed; values from VASP
&SYSTEM
  ibrav = 0, nat = 5, ntyp = 4
/
ATOMIC_SPECIES
B 10.81 B.upf
Mo 95.94 Mo.upf
Mn 54.94 Mn.upf
Si 28.09 Si.upf
ATOMIC_POSITIONS angstrom
B 0.000 2.062 0.000
Mo 0.000 0.000 0.000
Mn 2.321 2.062 2.321
Si 2.321 0.000 0.000
Si 0.000 0.000 2.321
CELL_PARAMETERS angstrom
4.643 0.000 0.000
0.000 4.124 0.000
0.000 0.000 4.643
! Energy relative to the elements, uncorrected (eV per formula unit): 7.2

(2)
! SrMnB2Mo | the Alexandria database | PBE | relaxed; values from VASP
&SYSTEM
  ibrav = 0, nat = 5, ntyp = 4
/
ATOMIC_SPECIES
Sr 87.62 Sr.upf
B 10.81 B.upf
Mo 95.94 Mo.upf
Mn 54.94 Mn.upf
ATOMIC_POSITIONS angstrom
Sr 0.146 -1.215 -2.355
B -1.909 0.771 -0.516
B -0.921 -1.722 0.832
Mo 0.000 0.000 0.000
Mn -2.684 -2.166 -2.039
CELL_PARAMETERS angstrom
-3.818 1.543 -1.032
0.291 -2.430 -4.710
-1.841 -3.445 1.663
! Formation energy (eV/atom): 1.992

(3)
! MnBTeMo2 | the Alexandria database | PBE | relaxed; values from VASP
&SYSTEM
  ibrav = 0, nat = 5, ntyp = 4
/
ATOMIC_SPECIES
Te 127.60 Te.upf
Mo 95.94 Mo.upf
Mn 54.94 Mn.upf
B 10.81 B.upf
ATOMIC_POSITIONS angstrom
Te 0.000 0.000 0.000
Mo -2.347 0.767 0.337
Mo -0.251 -1.601 1.893
Mn -0.761 -1.666 -1.511
B -3.360 -2.501 0.720
CELL_PARAMETERS angstrom
-4.695 1.534 0.674
-1.523 -3.333 -3.021
-0.502 -3.203 3.786
! Energy relative to the elements, uncorrected (eV per formula unit): 12.4

(4)
! ZrMnBMo2 | the Alexandria database | PBE | relaxed; values from VASP
&SYSTEM
  ibrav = 0, nat = 5, ntyp = 4
/
ATOMIC_SPECIES
Mo 95.94 Mo.upf
Zr 91.22 Zr.upf
Mn 54.94 Mn.upf
B 10.81 B.upf
ATOMIC_POSITIONS angstrom
Mo 2.067 0.000 0.000
Mo 0.000 0.000 2.067
Zr 0.000 2.286 0.000
Mn 2.067 2.286 2.067
B 0.000 0.000 0.000
CELL_PARAMETERS angstrom
4.134 0.000 0.000
0.000 4.572 0.000
0.000 0.000 4.134
! Formation energy (eV/atom): 0.408